Model i:
{"formula": "HgRuPb", "functional": "PBE-GGA", "state": "optimized geometry", "magmom_total_mub_per_fu": 0.00, "vol_a3_per_cell": 65.39, "lattice": [[3.2696, 0.0000, 0.0000], [-1.6348, 2.8316, 0.0000], [0.0000, 0.0000, 7.0626]], "species": ["Hg", "Pb", "Ru"], "frac_coords": [[0.0000, 0.0000, 0.9675], [0.6667, 0.3333, 0.3701], [0.3333, 0.6667, 0.6624]]}


Model ii:
{"formula": "HgRuPb", "functional": "PBE-GGA", "state": "optimized geometry", "magmom_total_mub_per_fu": 0.00, "vol_a3_per_cell": 72.90, "lattice": [[-2.5781, 1.8191, 0.4218], [-2.5778, -3.3362, -1.3687], [0.8718, -2.5847, 4.6581]], "species": ["Hg", "Ru", "Pb"], "frac_coords": [[0.2153, 0.5000, 0.3434], [0.9457, 0.5000, 0.8117], [0.4627, 0.0000, 0.8462]]}


Computed relative energies in units of meV per atom: model i 164; model ii 0


Model i:
{"formula": "HgRuPb", "functional": "PBE-GGA", "state": "optimized geometry", "magmom_total_mub_per_fu": 0.00, "vol_a3_per_cell": 69.01, "lattice": [[4.6042, 0.0000, 0.0000], [2.3021, 3.9873, 0.0000], [2.3021, 1.3291, 3.7593]], "species": ["Hg", "Pb", "Ru"], "frac_coords": [[0.0000, 0.0000, 0.0000], [0.5000, 0.5000, 0.5000], [0.7500, 0.7500, 0.7500]]}


Model ii:
{"formula": "HgRuPb", "functional": "PBE-GGA", "state": "optimized geometry", "magmom_total_mub_per_fu": 0.00, "vol_a3_per_cell": 271.00, "lattice": [[-0.0902, 2.1593, 2.2898], [2.1181, -2.8131, 2.7363], [16.9768, 6.9716, -5.9742]], "species": ["Hg", "Hg", "Hg", "Hg", "Ru", "Ru", "Ru", "Ru", "Pb", "Pb", "Pb", "Pb"], "frac_coords": [[0.3701, 0.0000, 0.7363], [0.3701, 0.5000, 0.2363], [0.8681, 0.0000, 0.3321], [0.8681, 0.5000, 0.8321], [0.8695, 0.0000, 0.1864], [0.8695, 0.5000, 0.6864], [0.3676, 0.0000, 0.0695], [0.3676, 0.5000, 0.5695], [0.8647, 0.0000, 0.9416], [0.8647, 0.5000, 0.4416], [0.8679, 0.0000, 0.5871], [0.8679, 0.5000, 0.0871]]}


Computed relative energies in units of meV per atom: model i 115; model ii 0


Model i:
{"formula": "HgRuPb", "functional": "PBE-GGA", "state": "optimized geometry", "magmom_total_mub_per_fu": 0.00, "vol_a3_per_cell": 76.55, "lattice": [[-3.1541, -0.3738, 0.7156], [0.5554, -4.2875, 0.2079], [1.1528, 0.4060, 5.2931]], "species": ["Pb", "Ru", "Hg"], "frac_coords": [[0.0000, 0.0000, 0.0000], [0.5000, 0.5000, 0.0000], [0.5000, 0.5000, 0.5000]]}


Model ii:
{"formula": "HgRuPb", "functional": "PBE-GGA", "state": "optimized geometry", "magmom_total_mub_per_fu": 0.00, "vol_a3_per_cell": 63.94, "lattice": [[-5.9559, -1.2102, 0.0718], [-3.4516, -4.2414, -2.6534], [5.0188, 1.2889, 3.1769]], "species": ["Hg", "Pb", "Ru"], "frac_coords": [[0.0223, 0.0223, 0.0000], [0.3082, 0.3082, 0.0000], [0.6695, 0.6695, 0.0000]]}


Model iii:
{"formula": "HgRuPb", "functional": "PBE-GGA", "state": "optimized geometry", "magmom_total_mub_per_fu": 0.00, "vol_a3_per_cell": 64.24, "lattice": [[-3.0170, 2.4053, 2.5449], [-1.0468, -1.1485, -4.3531], [-1.4164, -2.9646, 1.1228]], "species": ["Hg", "Pb", "Ru"], "frac_coords": [[0.0000, 0.0000, 0.9719], [0.3333, 0.6667, 0.4230], [0.6667, 0.3333, 0.6051]]}


Computed relative energies in units of meV per atom: model i 0; model ii 121; model iii 268


Model i:
{"formula": "HgRuPb", "functional": "PBE-GGA", "state": "optimized geometry", "magmom_total_mub_per_fu": 0.00, "vol_a3_per_cell": 137.05, "lattice": [[3.0648, 0.0001, 0.0034], [0.0001, 3.0641, 0.0014], [-0.0341, -0.1177, 14.5942]], "species": ["Hg", "Hg", "Ru", "Ru", "Pb", "Pb"], "frac_coords": [[0.5565, 0.3341, 0.4813], [0.5766, 0.8579, 0.6669], [0.0557, 0.8275, 0.3446], [0.5552, 0.3240, 0.2436], [0.0512, 0.8138, 0.8690], [0.0538, 0.8183, 0.1009]]}


Model ii:
{"formula": "HgRuPb", "functional": "PBE-GGA", "state": "optimized geometry", "magmom_total_mub_per_fu": 0.00, "vol_a3_per_cell": 69.35, "lattice": [[4.8217, 0.0000, 0.0000], [0.0000, 3.1399, 0.0000], [0.0000, 0.0000, 4.5806]], "species": ["Hg", "Ru", "Pb"], "frac_coords": [[0.5000, 0.5000, 0.0000], [0.0000, 0.0000, 0.0000], [0.0000, 0.5000, 0.5000]]}


Computed relative energies in units of meV per atom: model i 0; model ii 72


Model i:
{"formula": "HgRu2Pb", "functional": "PBE-GGA", "state": "optimized geometry", "magmom_total_mub_per_fu": 0.73, "vol_a3_per_cell": 71.34, "lattice": [[4.6519, 0.0318, 0.0000], [-0.0307, 4.6519, 0.0000], [0.0000, 0.0000, 3.2965]], "species": ["Hg", "Pb", "Ru", "Ru"], "frac_coords": [[0.5000, 0.0000, 0.5000], [0.0000, 0.5000, 0.5000], [0.0000, 0.0000, 0.0000], [0.5000, 0.5000, 0.0000]]}


Model ii:
{"formula": "HgRu2Pb", "functional": "PBE-GGA", "state": "optimized geometry", "magmom_total_mub_per_fu": 1.12, "vol_a3_per_cell": 171.24, "lattice": [[-2.1635, -0.7414, -3.5027], [-1.3713, -3.6088, 1.6109], [-9.5040, 2.4599, 2.8518]], "species": ["Pb", "Pb", "Ru", "Ru", "Ru", "Ru", "Hg", "Hg"], "frac_coords": [[0.0000, 0.0000, 0.0000], [0.7500, 0.2500, 0.5000], [0.5341, 0.1250, 0.2500], [0.2159, 0.6250, 0.2500], [0.3750, 0.4659, 0.7500], [0.8750, 0.7841, 0.7500], [0.5000, 0.5000, 0.0000], [0.2500, 0.7500, 0.5000]]}


Model iii:
{"formula": "HgRu2Pb", "functional": "PBE-GGA", "state": "optimized geometry", "magmom_total_mub_per_fu": 0.00, "vol_a3_per_cell": 74.91, "lattice": [[-1.5817, -1.0033, -4.4292], [-0.1857, -3.5410, -3.2485], [-4.8803, -2.3182, 0.7875]], "species": ["Hg", "Pb", "Ru", "Ru"], "frac_coords": [[0.7500, 0.7500, 0.7500], [0.2500, 0.2500, 0.2500], [0.9922, 0.9922, 0.9665], [0.5078, 0.5078, 0.5335]]}


Computed relative energies in units of meV per atom: model i 0; model ii 245; model iii 39


Model i:
{"formula": "HgRu2Pb", "functional": "PBE-GGA", "state": "optimized geometry", "magmom_total_mub_per_fu": 0.58, "vol_a3_per_cell": 74.22, "lattice": [[-8.7279, 0.6918, 0.4329], [-8.3556, -2.3414, 1.2427], [-8.0676, -0.0750, 3.4280]], "species": ["Hg", "Pb", "Ru", "Ru"], "frac_coords": [[0.2500, 0.2500, 0.2500], [0.7500, 0.7500, 0.7500], [0.0019, 0.0019, 0.0019], [0.4981, 0.4981, 0.4981]]}


Model ii:
{"formula": "HgRu2Pb", "functional": "PBE-GGA", "state": "optimized geometry", "magmom_total_mub_per_fu": 1.18, "vol_a3_per_cell": 76.70, "lattice": [[-2.2390, -3.4515, 1.5554], [2.4596, -2.0093, -0.9182], [3.5117, -0.3616, 4.2526]], "species": ["Hg", "Pb", "Ru", "Ru"], "frac_coords": [[0.0000, 0.4628, 0.4485], [0.5000, 0.7895, 0.7959], [0.0000, 0.1849, 0.0069], [0.5000, 0.0628, 0.2487]]}


Model iii:
{"formula": "HgRu2Pb", "functional": "PBE-GGA", "state": "optimized geometry", "magmom_total_mub_per_fu": 0.00, "vol_a3_per_cell": 71.27, "lattice": [[0.0000, 3.2908, 3.2908], [3.2908, 0.0000, 3.2908], [3.2908, 3.2908, 0.0000]], "species": ["Pb", "Ru", "Ru", "Hg"], "frac_coords": [[0.5000, 0.5000, 0.5000], [0.2500, 0.2500, 0.2500], [0.7500, 0.7500, 0.7500], [0.0000, 0.0000, 0.0000]]}


Model iv:
{"formula": "HgRu2Pb", "functional": "PBE-GGA", "state": "optimized geometry", "magmom_total_mub_per_fu": 2.20, "vol_a3_per_cell": 75.10, "lattice": [[4.7357, 0.0000, 0.0000], [2.3678, 4.1012, 0.0000], [2.3678, 1.3671, 3.8666]], "species": ["Hg", "Pb", "Ru", "Ru"], "frac_coords": [[0.5000, 0.5000, 0.5000], [0.7500, 0.7500, 0.7500], [0.0000, 0.0000, 0.0000], [0.2500, 0.2500, 0.2500]]}


Computed relative energies in units of meV per atom: model i 110; model ii 16; model iii 0; model iv 254


Model i:
{"formula": "HgPbS2", "functional": "PBE-GGA", "state": "optimized geometry", "magmom_total_mub_per_fu": 0.00, "vol_a3_per_cell": 430.53, "lattice": [[-0.4308, -2.2905, 3.2766], [6.9622, 0.5922, 1.3294], [-2.6242, 12.3088, 8.2594]], "species": ["Hg", "Hg", "Hg", "Hg", "Pb", "Pb", "Pb", "Pb", "S", "S", "S", "S", "S", "S", "S", "S"], "frac_coords": [[0.0005, 0.6496, 0.0935], [0.9995, 0.1496, 0.4065], [0.5005, 0.8504, 0.9065], [0.4995, 0.3504, 0.5935], [0.9997, 0.8824, 0.6648], [0.4997, 0.6176, 0.3352], [0.0003, 0.3824, 0.8352], [0.5003, 0.1176, 0.1648], [0.4998, 0.5776, 0.7134], [0.9998, 0.9224, 0.2866], [0.5002, 0.0776, 0.7866], [0.0002, 0.4224, 0.2134], [0.4997, 0.0274, 0.5346], [0.0003, 0.9726, 0.0346], [0.5003, 0.5274, 0.9654], [0.9997, 0.4726, 0.4654]]}


Model ii:
{"formula": "HgPbS2", "functional": "PBE-GGA", "state": "optimized geometry", "magmom_total_mub_per_fu": 0.00, "vol_a3_per_cell": 108.42, "lattice": [[2.2081, 0.0000, 8.5584], [-1.1041, 1.9123, 8.5584], [-1.1041, -1.9123, 8.5584]], "species": ["Pb", "S", "S", "Hg"], "frac_coords": [[0.0000, 0.0000, 0.0000], [0.8915, 0.8915, 0.8915], [0.1085, 0.1085, 0.1085], [0.5000, 0.5000, 0.5000]]}


Model iii:
{"formula": "HgPbS2", "functional": "PBE-GGA", "state": "optimized geometry", "magmom_total_mub_per_fu": 0.00, "vol_a3_per_cell": 250.84, "lattice": [[6.3448, 0.0000, 0.0000], [0.0000, 6.3448, 0.0000], [3.1724, 3.1724, 6.2309]], "species": ["Pb", "Pb", "S", "S", "S", "S", "Hg", "Hg"], "frac_coords": [[0.0000, 0.0000, 0.0000], [0.7500, 0.2500, 0.5000], [0.5907, 0.1250, 0.2500], [0.1593, 0.6250, 0.2500], [0.3750, 0.4093, 0.7500], [0.8750, 0.8407, 0.7500], [0.5000, 0.5000, 0.0000], [0.2500, 0.7500, 0.5000]]}


Computed relative energies in units of meV per atom: model i 0; model ii 475; model iii 53


Model i:
{"formula": "HgPbS", "functional": "PBE-GGA", "state": "optimized geometry", "magmom_total_mub_per_fu": 0.00, "vol_a3_per_cell": 90.88, "lattice": [[4.2180, 0.0000, 0.0000], [-2.1090, 3.6529, 0.0000], [0.0000, 0.0000, 5.8984]], "species": ["Pb", "S", "Hg"], "frac_coords": [[0.6667, 0.3333, 0.3901], [0.3333, 0.6667, 0.6217], [0.0000, 0.0000, 0.9881]]}


Model ii:
{"formula": "HgPbS", "functional": "PBE-GGA", "state": "optimized geometry", "magmom_total_mub_per_fu": 0.00, "vol_a3_per_cell": 203.67, "lattice": [[3.9753, 0.0000, 0.0000], [-1.9877, 3.4521, -0.1866], [0.0000, -1.5991, 14.9282]], "species": ["Hg", "Hg", "Pb", "Pb", "S", "S"], "frac_coords": [[0.3684, 0.7369, 0.0888], [0.6316, 0.2631, 0.9112], [0.8923, 0.7846, 0.7107], [0.1077, 0.2154, 0.2893], [0.8079, 0.6159, 0.3847], [0.1921, 0.3841, 0.6153]]}


Model iii:
{"formula": "HgPbS", "functional": "PBE-GGA", "state": "optimized geometry", "magmom_total_mub_per_fu": 0.00, "vol_a3_per_cell": 179.79, "lattice": [[-0.8520, -0.6505, 6.0384], [-3.9299, -0.9682, -0.6588], [3.7431, -6.4227, -0.1638]], "species": ["S", "S", "Hg", "Hg", "Pb", "Pb"], "frac_coords": [[0.0000, 0.0633, 0.6237], [0.5000, 0.6748, 0.8474], [0.2500, 0.3691, 0.2357], [0.7500, 0.3691, 0.2357], [0.0000, 0.6885, 0.8745], [0.5000, 0.0496, 0.5965]]}


Computed relative energies in units of meV per atom: model i 12; model ii 64; model iii 0